The following is a PBE-GGA calculation of a relaxed Ba6LiZn2 crystal, from Alexandria via LeMat-Bulk.

POSCAR file:
```
Ba6LiZn2
1.0
9.601 0.235 -3.569
-4.913 8.454 -3.057
-0.168 -0.235 10.241
Ba Zn Li
12 4 2
Cartesian
6.435 2.122 -3.333
4.774 3.301 3.254
-1.916 6.332 6.948
1.465 6.015 4.246
5.109 6.249 -3.536
-2.095 8.129 2.962
3.054 2.439 -0.631
0.832 1.887 3.063
3.687 6.567 0.552
-0.591 2.205 7.151
-0.255 5.153 0.361
6.614 0.325 0.653
5.793 0.000 4.098
2.736 3.202 6.135
1.783 5.252 -2.520
3.639 0.000 2.574
-2.541 4.110 3.592
0.000 0.000 0.000
```

Crystal system: orthorhombic
Symmetry: Immm (71)
Energy of formation in eV/atom: -0.0457